No. 1
Density functional theory data (PBE) for crystalline Ga3Ni at its relaxed geometry.

Cell: 6.293 6.293 6.293 Å, 90.00 90.00 90.00°
Space group Fm-3m (No. 225)
One atom of each set of equivalent atoms:
1 Ga 0.000 0.000 0.000
2 Ga 0.250 0.250 0.250
3 Ni 0.000 0.000 0.500

Properties
Magnetic moment (μB/atom): 0.002
Raw total energy (eV per formula unit): -14.5

---

No. 2
Density functional theory data (PBE) for crystalline NaCoN at its relaxed geometry.

Cell: 8.637 3.445 5.882 Å, 90.00 90.00 90.00°
Space group Pnma (No. 62)
One atom of each set of equivalent atoms:
1 Na 0.173 0.250 0.064
2 Co 0.036 0.250 0.621
3 N 0.054 0.750 0.683

Properties
Magnetic moment (μB/atom): 0.141
Raw total energy (eV per formula unit): -16.9

---

No. 3
Density functional theory data (PBE) for crystalline ErCuGeSe2S at its relaxed geometry.

Cell: 3.866 13.000 10.096 Å, 90.00 90.00 90.00°
Space group Cmcm (No. 63)
One atom of each set of equivalent atoms:
1 Er 0.000 0.000 0.000
2 Cu 0.000 0.478 0.250
3 Ge 0.000 0.240 0.750
4 Se 0.000 0.350 0.071
5 S 0.000 0.083 0.250

Properties
Magnetic moment (μB/atom): 0.001
Raw total energy (eV per formula unit): -29.1

---

No. 4
Density functional theory data (PBE) for crystalline Th2Pd at its relaxed geometry.

Cell: 12.439 12.439 12.439 Å, 90.00 90.00 90.00°
Space group Fd-3m (No. 227, origin choice 2)
One atom of each set of equivalent atoms:
1 Th 0.000 0.000 0.000
2 Pd 0.125 0.125 0.125

Properties
Calculated formation energy (eV per atom): 1.5920
Magnetic moment (μB/atom): 0.234
Raw total energy (eV per formula unit): -15.2

---

No. 5
Density functional theory data (PBE) for crystalline HgI2 at its relaxed geometry.

Cell: 7.452 7.452 4.339 Å, 90.00 90.00 90.00°
Space group P4_2/mnm (No. 136)
One atom of each set of equivalent atoms:
1 Hg 0.000 0.000 0.000
2 I 0.191 0.191 0.500

Properties
Raw total energy (eV per formula unit): -3.9

---

No. 6
Density functional theory data (PBE) for crystalline RbNdB4 at its relaxed geometry.

Cell: 3.136 8.154 8.163 Å, 90.00 90.00 90.00°
Space group Immm (No. 71)
One atom of each set of equivalent atoms:
1 Rb 0.000 0.000 0.000
2 Nd 0.000 0.500 0.000
3 B 0.000 0.245 0.261

Properties
Polymorph energy (0 for the lowest one) (eV/f.u.): 0.00
Magnetic moment (μB/atom): 0.000
Raw total energy (eV per formula unit): -31.6